Material: Tb3Ho2In4
Method: DFT, GGA-PBE
State: optimized geometry

Density of states at the Fermi level ... 13.4 states/eV per cell
Calculated total energy ... -4.020 eV per atom
Excess energy over the best structure of this formula in the dataset ... 1.52 eV/f.u.
Energy of formation ... -211 kJ/mol of formula units
V ... 29.4 Å³/atom
Crystal system ... orthorhombic

Lattice parameters (Å, degrees): 7.022 9.744 8.502 90.00 114.39 90.00
Sites, in units of the cell vectors:
1 Ho 0.606 0.957 0.213
2 In 0.305 0.479 0.610
3 Tb 0.030 0.750 0.561
4 Tb 0.470 0.250 0.439
5 Tb 0.500 0.500 0.000
6 Tb 0.530 0.750 0.561
7 Ho 0.394 0.043 0.787
8 In 0.262 0.250 0.024
9 In 0.195 0.979 0.390
10 In 0.762 0.250 0.024
11 Tb 0.000 0.000 0.000
12 In 0.738 0.750 0.976
13 In 0.238 0.750 0.976
14 In 0.805 0.021 0.610
15 Ho 0.894 0.457 0.787
16 In 0.695 0.521 0.390
17 Ho 0.106 0.543 0.213
18 Tb 0.970 0.250 0.439


Material: Tb5Ho2In2
Method: DFT, GGA-PBE
State: optimized geometry

Density of states at the Fermi level ... 21.2 states/eV per cell
Calculated total energy ... -4.237 eV per atom
Energy of formation ... -34 kJ/mol of formula units
V ... 30.3 Å³/atom
Crystal system ... orthorhombic

Lattice parameters (Å, degrees): 10.491 6.542 10.072 108.95 121.39 90.00
Sites, in units of the cell vectors:
1 In 0.116 0.544 0.176
2 Tb 0.138 0.938 0.500
3 Tb 0.543 0.186 0.698
4 Tb 0.655 0.686 0.698
5 Tb 0.862 0.438 0.500
6 In 0.440 0.868 0.824
7 Ho 0.500 0.494 0.000
8 Ho 0.767 0.931 0.500
9 Tb 0.799 0.249 0.110
10 Tb 0.201 0.139 0.890
11 Tb 0.811 0.749 0.110
12 Tb 0.457 0.487 0.302
13 Ho 0.000 0.994 0.000
14 Tb 0.345 0.987 0.302
15 Ho 0.233 0.431 0.500
16 In 0.560 0.044 0.176
17 In 0.884 0.368 0.824
18 Tb 0.189 0.639 0.890


Material: TbHo5In6
Method: DFT, GGA-PBE
State: optimized geometry

Density of states at the Fermi level ... 5.4 states/eV per cell
Calculated total energy ... -4.121 eV per atom
Energy of formation ... -531 kJ/mol of formula units
V ... 26.3 Å³/atom
Crystal system ... orthorhombic

Lattice parameters (Å, degrees): 5.308 7.474 8.397 90.00 71.57 90.00
Sites, in units of the cell vectors:
1 In 0.167 0.251 0.665
2 Ho 0.666 0.500 0.668
3 In 0.500 0.749 0.000
4 Ho 0.334 0.500 0.332
5 In 0.833 0.251 0.335
6 In 0.833 0.749 0.335
7 In 0.167 0.749 0.665
8 Tb 0.000 0.000 0.000
9 In 0.500 0.251 0.000
10 Ho 0.667 0.000 0.666
11 Ho 0.000 0.500 0.000
12 Ho 0.333 0.000 0.334